Entry A
The following is a PBE calculation of a relaxed structure of K2RbBa2, from the Alexandria database.

**M_tot**: 0.00 μB/f.u.

Cell lengths 12.879, 12.879, 4.586 Å; angles 90.00, 90.00, 90.00 degrees
Fractional positions:
K1 0.327 0.827 0.000
K2 0.827 0.673 0.000
K3 0.673 0.173 0.000
K4 0.173 0.327 0.000
Ba1 0.120 0.620 0.500
Ba2 0.620 0.880 0.500
Ba3 0.880 0.380 0.500
Ba4 0.380 0.120 0.500
Rb1 0.000 0.000 0.000
Rb2 0.500 0.500 0.000

Entry B
The following is a PBE calculation of a relaxed structure of K2RbBa2, from the Alexandria database.

**M_tot**: 0.00 μB/f.u.

Cell lengths 5.636, 5.636, 12.753 Å; angles 77.23, 77.23, 90.00 degrees
Fractional positions:
K1 0.750 0.250 0.500
K2 0.250 0.750 0.500
Ba1 0.404 0.404 0.192
Ba2 0.596 0.596 0.808
Rb1 0.000 0.000 0.000

Entry C
The following is a PBE calculation of a relaxed structure of K2RbBa2, from the Alexandria database.

**M_tot**: 0.00 μB/f.u.

Cell lengths 4.628, 4.571, 19.846 Å; angles 84.01, 90.00, 120.41 degrees
Fractional positions:
K1 0.571 0.142 0.211
K2 0.429 0.858 0.789
Rb1 0.000 0.000 0.000
Ba1 0.855 0.710 0.408
Ba2 0.145 0.290 0.592

Quick one: least stable of them? entry B

Entry A
The following is a PBE calculation of a relaxed structure of KRbBa2Rh, from the Alexandria database.

**M_tot**: 0.00 μB/f.u.

Cell lengths 6.089, 6.089, 7.046 Å; angles 90.00, 90.00, 90.00 degrees
Fractional positions:
K1 0.000 0.000 0.500
Rh1 0.000 0.000 0.000
Ba1 0.000 0.500 0.000
Ba2 0.500 0.000 0.000
Rb1 0.500 0.500 0.500

Entry B
The following is a PBE calculation of a relaxed structure of KRbBa2Rh, from the Alexandria database.

**M_tot**: 0.00 μB/f.u.

Cell lengths 6.078, 6.078, 7.166 Å; angles 90.00, 90.00, 90.00 degrees
Fractional positions:
K1 0.500 0.500 0.500
Rh1 0.000 0.000 0.000
Ba1 0.000 0.500 0.000
Ba2 0.500 0.000 0.000
Rb1 0.000 0.000 0.500

Quick one: least stable of them? entry B

Entry A
The following is a PBE calculation of a relaxed structure of KRbBa2Se, from the Alexandria database.

**M_tot**: 0.00 μB/f.u.

Cell lengths 6.474, 6.474, 7.202 Å; angles 90.00, 90.00, 90.00 degrees
Fractional positions:
K1 0.500 0.500 0.500
Se1 0.000 0.000 0.000
Ba1 0.000 0.500 0.000
Ba2 0.500 0.000 0.000
Rb1 0.000 0.000 0.500

Entry B
The following is a PBE calculation of a relaxed structure of KRbBa2Se, from the Alexandria database.

**M_tot**: 0.00 μB/f.u.

Cell lengths 6.491, 6.491, 7.090 Å; angles 90.00, 90.00, 90.00 degrees
Fractional positions:
K1 0.000 0.000 0.500
Se1 0.000 0.000 0.000
Ba1 0.000 0.500 0.000
Ba2 0.500 0.000 0.000
Rb1 0.500 0.500 0.500

Quick one: least stable of them? entry B

Entry A
The following is a PBE calculation of a relaxed structure of K3BaRe, from the Alexandria database.

**M_tot**: 6.01 μB/f.u.

Cell lengths 8.146, 8.146, 8.146 Å; angles 90.00, 90.00, 90.00 degrees
Last column: magnetic moment on the atom in μB.
Fractional positions:
Re1 0.500 0.500 0.500  3.97
K1 0.000 0.500 0.000  0.02
K2 0.000 0.000 0.500  0.02
K3 0.500 0.000 0.000  0.01
Ba1 0.000 0.000 0.000  0.20

Entry B
The following is a PBE calculation of a relaxed structure of K3BaRe, from the Alexandria database.

**M_tot**: 2.11 μB/f.u.

Cell lengths 6.593, 6.593, 6.593 Å; angles 90.00, 90.00, 90.00 degrees
Last column: magnetic moment on the atom in μB.
Fractional positions:
Re1 0.000 0.000 0.000  2.87
K1 0.000 0.500 0.000  -0.01
K2 0.000 0.000 0.500  -0.01
K3 0.500 0.000 0.000  0.00
Ba1 0.500 0.500 0.500  -0.16

Quick one: least stable of them? entry A

Entry A
The following is a PBE calculation of a relaxed structure of KBa3Re, from the Alexandria database.

**M_tot**: 0.10 μB/f.u.

Cell lengths 6.254, 6.254, 6.254 Å; angles 90.00, 90.00, 90.00 degrees
Last column: magnetic moment on the atom in μB.
Fractional positions:
Re1 0.000 0.000 0.000  0.11
K1 0.500 0.500 0.500  0.00
Ba1 0.000 0.500 0.000  0.00
Ba2 0.000 0.000 0.500  0.00
Ba3 0.500 0.000 0.000  0.01

Entry B
The following is a PBE calculation of a relaxed structure of KBa3Re, from the Alexandria database.

**M_tot**: 0.00 μB/f.u.

Cell lengths 6.051, 6.051, 6.051 Å; angles 90.00, 90.00, 90.00 degrees
Fractional positions:
Re1 0.500 0.500 0.500
K1 0.000 0.000 0.000
Ba1 0.000 0.500 0.000
Ba2 0.000 0.000 0.500
Ba3 0.500 0.000 0.000

Quick one: least stable of them? entry B

Entry A
The following is a PBE calculation of a relaxed structure of KBa3Rh, from the Alexandria database.

**M_tot**: 0.01 μB/f.u.

Cell lengths 6.316, 6.316, 6.316 Å; angles 90.00, 90.00, 90.00 degrees
Fractional positions:
K1 0.000 0.000 0.000
Rh1 0.500 0.500 0.500
Ba1 0.000 0.500 0.000
Ba2 0.000 0.000 0.500
Ba3 0.500 0.000 0.000

Entry B
The following is a PBE calculation of a relaxed structure of KBa3Rh, from the Alexandria database.

**M_tot**: 0.01 μB/f.u.

Cell lengths 7.863, 7.861, 11.986 Å; angles 70.67, 71.07, 59.92 degrees
Fractional positions:
K1 0.335 0.336 0.995
K2 0.665 0.664 0.005
Ba1 0.102 0.444 0.654
Ba2 0.801 0.099 0.654
Ba3 0.552 0.203 0.347
Ba4 0.199 0.901 0.346
Ba5 0.898 0.556 0.346
Ba6 0.448 0.797 0.653
Rh1 0.166 0.167 0.499
Rh2 0.834 0.833 0.501

Entry C
The following is a PBE calculation of a relaxed structure of KBa3Rh, from the Alexandria database.

**M_tot**: 0.00 μB/f.u.

Cell lengths 6.305, 6.305, 6.305 Å; angles 90.00, 90.00, 90.00 degrees
Fractional positions:
K1 0.500 0.500 0.500
Rh1 0.000 0.000 0.000
Ba1 0.000 0.500 0.000
Ba2 0.000 0.000 0.500
Ba3 0.500 0.000 0.000

Quick one: least stable of them? entry A

Entry A
The following is a PBE calculation of a relaxed structure of KBaRh, from the Alexandria database.

**M_tot**: 0.34 μB/f.u.

Cell lengths 4.494, 4.493, 16.139 Å; angles 90.00, 90.01, 59.99 degrees
Last column: magnetic moment on the atom in μB.
Fractional positions:
K1 0.628 0.981 0.671  0.00
K2 0.960 0.315 0.910  0.00
Ba1 0.296 0.644 0.417  -0.01
Ba2 0.296 0.644 0.165  -0.01
Rh1 0.629 0.978 0.291  0.34
Rh2 0.963 0.310 0.291  0.34

Entry B
The following is a PBE calculation of a relaxed structure of KBaRh, from the Alexandria database.

**M_tot**: 0.00 μB/f.u.

Cell lengths 5.307, 5.307, 5.307 Å; angles 60.00, 60.00, 60.00 degrees
Fractional positions:
Ba1 0.000 0.000 0.000
K1 0.500 0.500 0.500
Rh1 0.750 0.750 0.750

Quick one: least stable of them? entry B

Entry A
The following is a PBE calculation of a relaxed structure of KBaRh, from the Alexandria database.

**M_tot**: 0.00 μB/f.u.

Cell lengths 8.255, 8.255, 8.255 Å; angles 152.85, 152.93, 38.72 degrees
Fractional positions:
Ba1 0.057 0.057 0.000
K1 0.291 0.291 0.000
Rh1 0.651 0.651 0.000

Entry B
The following is a PBE calculation of a relaxed structure of KBaRh, from the Alexandria database.

**M_tot**: 0.00 μB/f.u.

Cell lengths 4.784, 4.784, 6.281 Å; angles 90.00, 90.00, 120.00 degrees
Fractional positions:
Ba1 0.000 0.000 0.874
K1 0.667 0.333 0.403
Rh1 0.333 0.667 0.723

Quick one: least stable of them? entry B

Entry A
The following is a PBE calculation of a relaxed structure of KBaRu2, from the Alexandria database.

**M_tot**: 0.00 μB/f.u.

Cell lengths 6.219, 6.219, 7.917 Å; angles 55.15, 55.15, 38.62 degrees
Fractional positions:
Ba1 0.250 0.250 0.250
K1 0.750 0.750 0.750
Ru1 0.012 0.012 0.172
Ru2 0.488 0.488 0.328

Entry B
The following is a PBE calculation of a relaxed structure of KBaRu2, from the Alexandria database.

**M_tot**: 2.74 μB/f.u.

Cell lengths 5.235, 5.235, 5.235 Å; angles 60.00, 60.00, 60.00 degrees
Last column: magnetic moment on the atom in μB.
Fractional positions:
Ru1 0.250 0.250 0.250  1.35
Ru2 0.750 0.750 0.750  1.35
K1 0.000 0.000 0.000  0.00
Ba1 0.500 0.500 0.500  -0.06

Entry C
The following is a PBE calculation of a relaxed structure of KBaRu2, from the Alexandria database.

**M_tot**: 1.28 μB/f.u.

Cell lengths 5.273, 3.153, 7.989 Å; angles 65.86, 90.00, 90.00 degrees
Last column: magnetic moment on the atom in μB.
Fractional positions:
Ba1 0.500 0.250 0.250  -0.04
K1 0.500 0.750 0.750  0.00
Ru1 0.000 0.911 0.095  0.58
Ru2 0.000 0.589 0.405  0.58

Quick one: least stable of them? entry B

Entry A
The following is a PBE calculation of a relaxed structure of KBaRu2, from the Alexandria database.

**M_tot**: 3.43 μB/f.u.

Cell lengths 8.689, 8.689, 6.800 Å; angles 50.29, 50.29, 90.00 degrees
Last column: magnetic moment on the atom in μB.
Fractional positions:
Ru1 0.628 0.125 0.250  1.71
Ru2 0.122 0.625 0.250  1.71
Ru3 0.375 0.372 0.750  1.71
Ru4 0.875 0.878 0.750  1.71
K1 0.500 0.500 0.000  -0.01
K2 0.250 0.750 0.500  -0.01
Ba1 0.000 0.000 0.000  -0.07
Ba2 0.750 0.250 0.500  -0.07

Entry B
The following is a PBE calculation of a relaxed structure of KBaRu2, from the Alexandria database.

**M_tot**: 0.00 μB/f.u.

Cell lengths 5.999, 5.999, 5.999 Å; angles 139.27, 123.77, 71.72 degrees
Fractional positions:
Ba1 0.527 0.527 0.000
K1 0.222 0.722 0.500
Ru1 0.929 0.929 0.000
Ru2 0.823 0.323 0.500

Entry C
The following is a PBE calculation of a relaxed structure of KBaRu2, from the Alexandria database.

**M_tot**: 0.00 μB/f.u.

Cell lengths 4.121, 4.121, 9.646 Å; angles 79.30, 79.30, 59.98 degrees
Fractional positions:
Ba1 0.549 0.549 0.384
K1 0.705 0.705 0.852
Ru1 0.963 0.963 0.107
Ru2 0.282 0.282 0.157

Entry D
The following is a PBE calculation of a relaxed structure of KBaRu2, from the Alexandria database.

**M_tot**: 3.11 μB/f.u.

Cell lengths 3.117, 3.117, 10.321 Å; angles 90.00, 90.00, 90.01 degrees
Last column: magnetic moment on the atom in μB.
Fractional positions:
Ba1 0.500 0.500 0.250  -0.07
K1 0.500 0.500 0.750  -0.01
Ru1 0.000 0.000 0.011  1.53
Ru2 0.000 0.000 0.489  1.53

Quick one: least stable of them? entry A

Entry A
The following is a PBE calculation of a relaxed structure of KBa2Ru, from the Alexandria database.

**M_tot**: 0.00 μB/f.u.

Cell lengths 7.169, 7.169, 7.468 Å; angles 61.29, 61.29, 33.95 degrees
Fractional positions:
Ba1 0.911 0.911 0.118
Ba2 0.746 0.746 0.831
K1 0.571 0.571 0.474
Ru1 0.272 0.272 0.077

Entry B
The following is a PBE calculation of a relaxed structure of KBa2Ru, from the Alexandria database.

**M_tot**: 0.00 μB/f.u.

Cell lengths 8.894, 8.894, 8.891 Å; angles 59.99, 59.99, 90.00 degrees
Fractional positions:
Ru1 0.000 0.000 0.000
Ru2 0.750 0.250 0.500
K1 0.500 0.500 0.000
K2 0.250 0.750 0.500
Ba1 0.873 0.125 0.250
Ba2 0.877 0.625 0.250
Ba3 0.375 0.127 0.750
Ba4 0.875 0.123 0.750

Entry C
The following is a PBE calculation of a relaxed structure of KBa2Ru, from the Alexandria database.

**M_tot**: 0.06 μB/f.u.

Cell lengths 4.634, 4.634, 11.441 Å; angles 84.17, 84.17, 50.90 degrees
Last column: magnetic moment on the atom in μB.
Fractional positions:
Ba1 0.971 0.971 0.097  0.00
Ba2 0.529 0.529 0.403  0.00
K1 0.750 0.750 0.750  0.00
Ru1 0.250 0.250 0.250  0.09

Quick one: least stable of them? entry A